Material: LaSnC3
Method: DFT, PBE
State: relaxed

Unit cell a=4.562 b=4.562 c=4.562 alpha=90.00 beta=90.00 gamma=90.00
Atoms (fractional coordinates):
La 0.000 0.000 0.000
Sn 0.500 0.500 0.500
C 0.000 0.000 0.500
C 0.000 0.500 0.000
C 0.500 0.000 0.000

- distance to the lowest polymorph of the same formula (kJ per mole of atoms) = 87.0
- SG = Pm-3m (221)
- ρ (g cm⁻³) = 5.13
- VASP energy (eV per atom) = -4.758
- DOS(E_F) (states/eV per atom) = 1.09
- crystal system = cubic

***

Material: LaSnC3
Method: DFT, PBE
State: relaxed

Unit cell a=4.309 b=4.309 c=4.309 alpha=90.00 beta=90.00 gamma=90.00
Atoms (fractional coordinates):
La 0.000 0.000 0.000
Sn 0.500 0.500 0.500
C 0.000 0.500 0.500
C 0.500 0.000 0.500
C 0.500 0.500 0.000

- distance to the lowest polymorph of the same formula (kJ per mole of atoms) = 0.0
- SG = Pm-3m (221)
- ρ (g cm⁻³) = 6.10
- VASP energy (eV per atom) = -5.660
- DOS(E_F) (states/eV per atom) = 0.84
- crystal system = cubic

***

Material: La4Sn2C
Method: DFT, PBE
State: relaxed

Unit cell a=6.990 b=7.065 c=9.772 alpha=90.00 beta=110.84 gamma=90.00
Atoms (fractional coordinates):
La 0.008 0.000 0.266
La 0.008 0.500 0.266
La 0.391 0.250 0.062
La 0.428 0.250 0.649
La 0.572 0.750 0.351
La 0.609 0.750 0.938
La 0.992 0.000 0.734
La 0.992 0.500 0.734
Sn 0.195 0.750 0.040
Sn 0.297 0.750 0.579
Sn 0.703 0.250 0.421
Sn 0.805 0.250 0.960
C 0.226 0.250 0.800
C 0.774 0.750 0.200

- distance to the lowest polymorph of the same formula (kJ per mole of atoms) = 2.3
- SG = P2_1/m (11)
- ρ (g cm⁻³) = 5.93
- VASP energy (eV per atom) = -5.798
- DOS(E_F) (states/eV per atom) = 0.22
- crystal system = monoclinic

***

Material: La7Sn3C2
Method: DFT, PBE
State: relaxed

Unit cell a=13.281 b=13.281 c=5.064 alpha=90.00 beta=90.00 gamma=157.18
Atoms (fractional coordinates):
La 0.000 0.000 0.000
La 0.096 0.904 0.500
La 0.201 0.799 0.000
La 0.397 0.603 0.000
La 0.603 0.397 0.000
La 0.799 0.201 0.000
La 0.904 0.096 0.500
Sn 0.310 0.690 0.500
Sn 0.500 0.500 0.500
Sn 0.690 0.310 0.500
C 0.106 0.894 0.000
C 0.894 0.106 0.000

- SG = Cmmm (65)
- ρ (g cm⁻³) = 6.48
- VASP energy (eV per atom) = -5.931
- DOS(E_F) (states/eV per atom) = 0.61
- crystal system = orthorhombic

***

Material: La2SnC
Method: DFT, PBE
State: relaxed

Unit cell a=5.255 b=5.255 c=5.255 alpha=60.00 beta=60.00 gamma=60.00
Atoms (fractional coordinates):
La 0.250 0.250 0.250
La 0.750 0.750 0.750
Sn 0.000 0.000 0.000
C 0.500 0.500 0.500

- SG = Fm-3m (225)
- ρ (g cm⁻³) = 6.61
- VASP energy (eV per atom) = -5.320
- DOS(E_F) (states/eV per atom) = 1.36
- crystal system = cubic

***

Material: La4Sn2C
Method: DFT, PBE
State: relaxed

Unit cell a=8.194 b=8.194 c=4.999 alpha=90.00 beta=90.00 gamma=142.42
Atoms (fractional coordinates):
La 0.000 0.000 0.000
La 0.170 0.830 0.500
La 0.500 0.500 0.500
La 0.830 0.170 0.500
Sn 0.346 0.654 0.000
Sn 0.654 0.346 0.000
C 0.000 0.000 0.500

- distance to the lowest polymorph of the same formula (kJ per mole of atoms) = 2.4
- SG = Cmmm (65)
- ρ (g cm⁻³) = 6.53
- VASP energy (eV per atom) = -5.798
- DOS(E_F) (states/eV per atom) = 0.70
- crystal system = orthorhombic

***

Material: La2SnC
Method: DFT, PBE
State: relaxed

Unit cell a=6.654 b=6.654 c=6.654 alpha=110.74 beta=110.74 gamma=106.97
Atoms (fractional coordinates):
La 0.039 0.625 0.914
La 0.375 0.289 0.414
La 0.711 0.125 0.086
La 0.875 0.961 0.586
Sn 0.250 0.750 0.500
Sn 0.500 0.500 0.000
C 0.000 0.000 0.000
C 0.750 0.250 0.500

- SG = I-42d (122)
- ρ (g cm⁻³) = 5.99
- VASP energy (eV per atom) = -5.905
- DOS(E_F) (states/eV per atom) = 0.44
- crystal system = tetragonal

***

Material: La2SnC2
Method: DFT, PBE
State: relaxed

Unit cell a=7.842 b=7.842 c=3.312 alpha=90.00 beta=90.00 gamma=90.00
Atoms (fractional coordinates):
La 0.138 0.362 0.000
La 0.362 0.862 0.000
La 0.638 0.138 0.000
La 0.862 0.638 0.000
Sn 0.000 0.000 0.000
Sn 0.500 0.500 0.000
C 0.168 0.668 0.500
C 0.332 0.168 0.500
C 0.668 0.832 0.500
C 0.832 0.332 0.500

- distance to the lowest polymorph of the same formula (kJ per mole of atoms) = 30.2
- SG = P4/mbm (127)
- ρ (g cm⁻³) = 6.86
- VASP energy (eV per atom) = -5.658
- DOS(E_F) (states/eV per atom) = 0.58
- crystal system = tetragonal

***

no.,energy of formation (eV per atom)
1,2.563
2,1.661
3,-0.521
4,-0.519
5,0.450
6,-0.521
7,-0.135
8,0.803